Entry 1:
Material: TbGa4CuRh2
Method: DFT, PBE
State: relaxed

**Size of the total moment**: 0.00 μB/f.u.
**Total DFT energy (no corrections)**: -39.8 eV per formula unit
**Calculated volume**: 16.72 A^3/atom
**E_form**: -50.9 kJ per mole of atoms

Lattice parameters (Å, degrees): 4.2620 4.2620 8.8499 76.07 76.07 60.00
Positions (direct):
Tb (0.0000, 0.0000, 0.0000)
Ga (0.3989, 0.3989, 0.8032)
Ga (0.8700, 0.8700, 0.3899)
Ga (0.1300, 0.1300, 0.6101)
Ga (0.6011, 0.6011, 0.1968)
Cu (0.5000, 0.5000, 0.5000)
Rh (0.7677, 0.7677, 0.6969)
Rh (0.2323, 0.2323, 0.3031)

Entry 2:
Material: TlCoRe
Method: DFT, PBE
State: relaxed

**Excess energy over the best structure of this formula in the dataset**: 288 meV per atom
**Size of the total moment**: 1.02 μB/f.u.
**Total DFT energy (no corrections)**: -19.3 eV per formula unit
**Calculated volume**: 17.32 A^3/atom
**E_form**: 85.3 kJ per mole of atoms

Lattice parameters (Å, degrees): 4.1884 4.1884 4.1884 60.00 60.00 60.00
Positions (direct):
Co (0.7500, 0.7500, 0.7500)
Re (0.0000, 0.0000, 0.0000)
Tl (0.5000, 0.5000, 0.5000)

Entry 3:
Material: SrTa2Co2
Method: DFT, PBE
State: relaxed

**Excess energy over the best structure of this formula in the dataset**: 0 meV per atom
**Size of the total moment**: 0.00 μB/f.u.
**Total DFT energy (no corrections)**: -39.1 eV per formula unit
**Calculated volume**: 19.67 A^3/atom
**E_form**: 8.8 kJ per mole of atoms

Lattice parameters (Å, degrees): 4.2888 4.2888 6.1477 69.59 69.59 90.00
Positions (direct):
Sr (0.0000, 0.0000, 0.0000)
Co (0.3675, 0.3675, 0.2651)
Co (0.6325, 0.6325, 0.7349)
Ta (0.7500, 0.2500, 0.5000)
Ta (0.2500, 0.7500, 0.5000)

Question: Number 2 is which compound?
Answer: TlCoRe